# KP2WO GGA+U relaxed
# VASP energy, eV per cell: -25.54
# Energy relative to the lowest polymorph listed for this composition, meV/atom: 0
data_KP2WO
_chemical_formula_sum 'K1 P2 W1 O1'
_cell_length_a 4.9305
_cell_length_b 4.9305
_cell_length_c 3.9530
_cell_angle_alpha 90.00
_cell_angle_beta 90.00
_cell_angle_gamma 90.00
_space_group_name_H-M_alt 'P 4/m m m'
_space_group_IT_number 123
_space_group_name_Hall '-P 4 2'
loop_
_atom_site_label
_atom_site_type_symbol
_atom_site_fract_x
_atom_site_fract_y
_atom_site_fract_z
K1 K 0.0000 0.0000 0.0000
P1 P 0.0000 0.5000 0.5000
W1 W 0.5000 0.5000 0.5000
O1 O 0.5000 0.5000 0.0000